1.
This record from the Alexandria database describes an optimized crystal structure of KTaGa3. The functional is PBE-GGA.

Unit cell a=5.1602 b=5.1602 c=5.1602 alpha=90.00 beta=90.00 gamma=90.00
Sites, in units of the cell vectors:
K1 0.0000 0.0000 0.0000
Ta1 0.5000 0.5000 0.5000
Ga1 0.0000 0.5000 0.5000
Ga2 0.5000 0.0000 0.5000
Ga3 0.5000 0.5000 0.0000

- Space-group type: Pm-3m (221)
- Offset from the most stable computed form: 0 meV per atom

2.
This record from the Alexandria database describes an optimized crystal structure of KTaGa3. The functional is PBE-GGA.

Unit cell a=5.0828 b=5.0828 c=5.0828 alpha=90.00 beta=90.00 gamma=90.00
Sites, in units of the cell vectors:
K1 0.0000 0.0000 0.0000
Ta1 0.5000 0.5000 0.5000
Ga1 0.0000 0.0000 0.5000
Ga2 0.0000 0.5000 0.0000
Ga3 0.5000 0.0000 0.0000

- Space-group type: Pm-3m (221)
- Offset from the most stable computed form: 1692 meV per atom